Record 1
## PaGaSi2 (GGA-PBE)

Data for an optimized crystal structure of PaGaSi2.

ΔE to the lowest computed polymorph   0.0 kJ/mol of atoms
Theoretical density   8.13 g/cm3
Formation energy without anion corrections   -1.7 eV/f.u.

a b c (Å): 4.2492 4.2492 4.0399
angles (deg): 90.00 90.00 90.00
With the nearest neighbours (Å) after each atom.
Space group P4/mmm (No. 123)
Symmetry-distinct sites (fractional):
Pa 0.0000 0.0000 0.0000 (multiplicity 1)  8 Si 2.93, 4 Ga 3.00
Ga 0.5000 0.5000 0.0000 (multiplicity 1)  8 Si 2.93, 4 Pa 3.00
Si 0.0000 0.5000 0.5000 (multiplicity 2)  4 Pa 2.93, 4 Ga 2.93, 4 Si 3.00

***

Record 2
## PaGaSi2Tc2 (GGA-PBE)

Data for an optimized crystal structure of PaGaSi2Tc2.

Theoretical density   7.85 g/cm3
Formation energy without anion corrections   1.0 eV/f.u.

a b c (Å): 4.4748 4.4748 11.6887
angles (deg): 90.00 90.00 90.00
With the nearest neighbours (Å) after each atom.
Space group I4/mmm (No. 139)
Symmetry-distinct sites (fractional):
Pa 0.0000 0.0000 0.0000 (multiplicity 2)  4 Ga 3.16
Ga 0.0000 0.0000 0.5000 (multiplicity 2)  2 Si 2.28
Si 0.0000 0.0000 0.3048 (multiplicity 4)  1 Ga 2.28, 4 Tc 2.33
Tc 0.0000 0.5000 0.2500 (multiplicity 4)  4 Si 2.33

***

Record 3
## PaZnGaSi (GGA-PBE)

Data for an optimized crystal structure of PaZnGaSi.

Theoretical density   8.59 g/cm3
Formation energy without anion corrections   -1.2 eV/f.u.

a b c (Å): 4.1146 4.1395 4.4743
angles (deg): 90.00 90.00 90.00
With the nearest neighbours (Å) after each atom.
Space group Pmmm (No. 47)
Symmetry-distinct sites (fractional):
Pa 0.0000 0.0000 0.0000 (multiplicity 1)  4 Si 2.92, 4 Ga 3.04, 4 Zn 3.05
Zn 0.0000 0.5000 0.5000 (multiplicity 1)  4 Ga 2.92, 4 Si 3.04, 4 Pa 3.05
Ga 0.5000 0.0000 0.5000 (multiplicity 1)  4 Zn 2.92, 4 Pa 3.04, 4 Si 3.05
Si 0.5000 0.5000 0.0000 (multiplicity 1)  4 Pa 2.92, 4 Zn 3.04, 4 Ga 3.05

***

Q: Among the records above, which one has the highest formation energy without anion corrections?
A: PaGaSi2Tc2